w.
VASP calculation (PBE) on NpPa2Sb after structural relaxation.

The crystal system is cubic. The magnetization comes out at 1.47 μB per atom. Its volume is 395 Å³ per cell. The density of states at the Fermi level is 8.841 states/eV/f.u.

Lattice parameters (Å, degrees): 7.3361 7.3361 7.3361 90.00 90.00 90.00
With the nearest neighbours (Å) after each atom.
Space group Fm-3m (No. 225)
Inequivalent atoms, fractional coordinates:
Np 0.0000 0.0000 0.0000 (multiplicity 4)  8 Pa 3.18
Pa 0.2500 0.2500 0.2500 (multiplicity 8)  4 Sb 3.18, 4 Np 3.18
Sb 0.0000 0.0000 0.5000 (multiplicity 4)  8 Pa 3.18

x.
VASP calculation (PBE) on NpPa2Sb after structural relaxation.

The crystal system is tetragonal. The magnetization comes out at 0.82 μB per atom. Its volume is 95 Å³ per cell. The density of states at the Fermi level is 12.223 states/eV/f.u.

Lattice parameters (Å, degrees): 4.6067 4.6067 4.4832 90.00 90.00 90.00
With the nearest neighbours (Å) after each atom.
Space group P4/mmm (No. 123)
Inequivalent atoms, fractional coordinates:
Np 0.0000 0.0000 0.0000 (multiplicity 1)  8 Pa 3.21, 4 Sb 3.26
Pa 0.0000 0.5000 0.5000 (multiplicity 2)  4 Sb 3.21, 4 Np 3.21, 4 Pa 3.26
Sb 0.5000 0.5000 0.0000 (multiplicity 1)  8 Pa 3.21, 4 Np 3.26

It is w that is the least stable of them.

w.
VASP calculation (PBE) on NpPa2Sb after structural relaxation.

The crystal system is trigonal. The magnetization comes out at 0.00 μB per atom. Its volume is 280 Å³ per cell. The density of states at the Fermi level is 7.830 states/eV/f.u.

Lattice parameters (Å, degrees): 3.7347 3.7347 23.1948 90.00 90.00 120.00
With the nearest neighbours (Å) after each atom.
Space group R-3m (No. 166, hexagonal axes)
Inequivalent atoms, fractional coordinates:
Np 0.0000 0.0000 0.0000 (multiplicity 3)  6 Pa 2.68
Pa 0.0000 0.0000 0.2648 (multiplicity 6)  3 Np 2.68
Sb 0.0000 0.0000 0.5000 (multiplicity 3)  6 Pa 3.13

x.
VASP calculation (PBE) on NpPa2Sb after structural relaxation.

The crystal system is tetragonal. The magnetization comes out at 1.14 μB per atom. Its volume is 97 Å³ per cell. The density of states at the Fermi level is 10.030 states/eV/f.u.

Lattice parameters (Å, degrees): 3.8470 3.8470 6.5367 90.00 90.00 90.00
With the nearest neighbours (Å) after each atom.
Space group P4/mmm (No. 123)
Inequivalent atoms, fractional coordinates:
Np 0.0000 0.0000 0.0000 (multiplicity 1)  8 Pa 3.11, 2 Sb 3.27
Pa 0.5000 0.5000 0.2321 (multiplicity 2)  1 Pa 3.03, 4 Np 3.11, 4 Sb 3.24
Sb 0.0000 0.0000 0.5000 (multiplicity 1)  8 Pa 3.24, 2 Np 3.27

It is w that is the least stable of them.

w.
VASP calculation (PBE) on NpPaSb2 after structural relaxation.

The crystal system is tetragonal. The magnetization comes out at 1.32 μB per atom. Its volume is 104 Å³ per cell. The density of states at the Fermi level is 11.591 states/eV/f.u.

Lattice parameters (Å, degrees): 3.7232 3.7232 7.5237 90.00 90.00 90.00
With the nearest neighbours (Å) after each atom.
Space group P4/mmm (No. 123)
Inequivalent atoms, fractional coordinates:
Np 0.0000 0.0000 0.0000 (multiplicity 1)  8 Sb 3.25
Pa 0.0000 0.0000 0.5000 (multiplicity 1)  8 Sb 3.22
Sb 0.5000 0.5000 0.2532 (multiplicity 2)  4 Pa 3.22, 4 Np 3.25

x.
VASP calculation (PBE) on NpPaSb2 after structural relaxation.

The crystal system is cubic. The magnetization comes out at 1.47 μB per atom. Its volume is 421 Å³ per cell. The density of states at the Fermi level is 15.747 states/eV/f.u.

Lattice parameters (Å, degrees): 7.4937 7.4937 7.4937 90.00 90.00 90.00
With the nearest neighbours (Å) after each atom.
Space group Fm-3m (No. 225)
Inequivalent atoms, fractional coordinates:
Np 0.0000 0.0000 0.0000 (multiplicity 4)  8 Sb 3.24
Pa 0.0000 0.0000 0.5000 (multiplicity 4)  8 Sb 3.24
Sb 0.2500 0.2500 0.2500 (multiplicity 8)  4 Pa 3.24, 4 Np 3.24

It is x that is the least stable of them.

w.
VASP calculation (PBE) on NpPaSb2 after structural relaxation.

The crystal system is trigonal. The magnetization comes out at 1.28 μB per atom. Its volume is 358 Å³ per cell. The density of states at the Fermi level is 11.094 states/eV/f.u.

Lattice parameters (Å, degrees): 4.4177 4.4177 21.1753 90.00 90.00 120.00
With the nearest neighbours (Å) after each atom.
Space group R-3m (No. 166, hexagonal axes)
Inequivalent atoms, fractional coordinates:
Np 0.0000 0.0000 0.0000 (multiplicity 3)  6 Sb 3.11
Pa 0.0000 0.0000 0.5000 (multiplicity 3)  6 Sb 3.10
Sb 0.0000 0.0000 0.2495 (multiplicity 6)  3 Pa 3.10, 3 Np 3.11

x.
VASP calculation (PBE) on NpPaSb2 after structural relaxation.

The crystal system is trigonal. The magnetization comes out at 1.45 μB per atom. Its volume is 363 Å³ per cell. The density of states at the Fermi level is 14.322 states/eV/f.u.

Lattice parameters (Å, degrees): 4.2287 4.2287 23.4698 90.00 90.00 120.00
With the nearest neighbours (Å) after each atom.
Space group R3m (No. 160, hexagonal axes)
Inequivalent atoms, fractional coordinates:
Np 0.0000 0.0000 0.0000 (multiplicity 3)  6 Sb 3.10-3.14
Pa 0.0000 0.0000 0.1690 (multiplicity 3)  6 Sb 3.12-3.15
Sb 0.0000 0.0000 0.4177 (multiplicity 3)  3 Np 3.14, 3 Pa 3.15
Sb 0.0000 0.0000 0.5855 (multiplicity 3)  3 Np 3.10, 3 Pa 3.12

It is x that is the least stable of them.

w.
VASP calculation (PBE) on Np3PaSe6 after structural relaxation.

The crystal system is monoclinic. The magnetization comes out at 0.56 μB per atom. Its volume is 553 Å³ per cell. The density of states at the Fermi level is 27.967 states/eV/f.u.

Lattice parameters (Å, degrees): 6.9216 7.7313 12.2581 90.00 122.60 90.00
With the nearest neighbours (Å) after each atom.
Space group P2_1/c (No. 14)
Inequivalent atoms, fractional coordinates:
Np 0.0000 0.0000 0.0000 (multiplicity 2)  6 Se 2.86-2.89
Np 0.3075 0.1192 0.7575 (multiplicity 4)  6 Se 2.93-3.13
Pa 0.5000 0.0000 0.5000 (multiplicity 2)  6 Se 2.80-2.85
Se 0.0870 0.0562 0.2558 (multiplicity 4)  1 Pa 2.85, 3 Np 2.89-2.97
Se 0.2445 0.6761 0.0810 (multiplicity 4)  1 Pa 2.80, 3 Np 2.88-3.07
Se 0.4165 0.1788 0.0759 (multiplicity 4)  1 Pa 2.82, 3 Np 2.86-3.13

x.
VASP calculation (PBE) on Np3PaSe6 after structural relaxation.

The crystal system is orthorhombic. The magnetization comes out at 1.40 μB per atom. Its volume is 1082 Å³ per cell. The density of states at the Fermi level is 31.990 states/eV/f.u.

Lattice parameters (Å, degrees): 11.0565 13.7393 7.1199 90.00 90.00 90.00
With the nearest neighbours (Å) after each atom.
Space group Cmc2_1 (No. 36)
Inequivalent atoms, fractional coordinates:
Np 0.0000 0.0939 0.0000 (multiplicity 4)  7 Se 2.92-2.97
Np 0.1846 0.3997 0.8873 (multiplicity 8)  7 Se 2.86-3.11
Pa 0.0000 0.3357 0.3869 (multiplicity 4)  5 Se 2.76-2.91
Se 0.0000 0.2626 0.7477 (multiplicity 4)  1 Pa 2.76, 3 Np 2.93-2.95
Se 0.0000 0.4937 0.1296 (multiplicity 4)  2 Pa 2.84-2.91, 4 Np 2.97-3.11
Se 0.1642 0.0370 0.6978 (multiplicity 8)  4 Np 2.86-2.92
Se 0.1709 0.2355 0.1714 (multiplicity 8)  1 Pa 2.80, 3 Np 2.89-3.03

It is w that is the least stable of them.

w.
VASP calculation (PBE) on NpPaSe4 after structural relaxation.

The crystal system is tetragonal. The magnetization comes out at 0.67 μB per atom. Its volume is 159 Å³ per cell. The density of states at the Fermi level is 14.719 states/eV/f.u.

Lattice parameters (Å, degrees): 4.8241 4.8241 6.8400 90.00 90.00 90.00
With the nearest neighbours (Å) after each atom.
Space group P4/mmm (No. 123)
Inequivalent atoms, fractional coordinates:
Np 0.0000 0.0000 0.0000 (multiplicity 1)  8 Se 2.97
Pa 0.5000 0.5000 0.5000 (multiplicity 1)  8 Se 2.94
Se 0.0000 0.5000 0.2543 (multiplicity 4)  2 Pa 2.94, 2 Np 2.97

x.
VASP calculation (PBE) on NpPaSe4 after structural relaxation.

The crystal system is orthorhombic. The magnetization comes out at 0.67 μB per atom. Its volume is 380 Å³ per cell. The density of states at the Fermi level is 9.379 states/eV/f.u.

Lattice parameters (Å, degrees): 9.3081 9.4300 4.3244 90.00 90.00 90.00
With the nearest neighbours (Å) after each atom.
Space group Cmmm (No. 65)
Inequivalent atoms, fractional coordinates:
Np 0.0000 0.0000 0.0000 (multiplicity 2)  6 Se 2.85-2.91
Pa 0.0000 0.5000 0.5000 (multiplicity 2)  6 Se 2.79-2.81
Se 0.0000 0.3090 0.0000 (multiplicity 4)  2 Pa 2.81, 1 Np 2.91
Se 0.2001 0.0000 0.5000 (multiplicity 4)  1 Pa 2.79, 2 Np 2.85

It is x that is the least stable of them.